Entry 1:
## CsKTl2Au2 (PBE)

Data for CsKTl2Au2 after structural relaxation.

Unit cell a=5.359 b=5.359 c=8.422 alpha=90.00 beta=90.00 gamma=120.00
Element x y z (fractional)
Cs: 0.000 0.000 0.000
K: 0.000 0.000 0.500
Tl: 0.333 0.667 0.683
Tl: 0.667 0.333 0.317
Au: 0.333 0.667 0.319
Au: 0.667 0.333 0.681

Results
**Symmetry**: No. 164
**Formation energy from the elements**: -203 meV/atom
**Magnetization**: 0.0 μB per formula unit

---

Entry 2:
## PmThZnSb (PBE)

Data for PmThZnSb after structural relaxation.

Unit cell a=5.344 b=5.344 c=5.344 alpha=60.00 beta=60.00 gamma=60.00
Element x y z (fractional)
Pm: 0.000 0.000 0.000
Th: 0.500 0.500 0.500
Zn: 0.250 0.250 0.250
Sb: 0.750 0.750 0.750

Results
**Symmetry**: No. 216
**Formation energy without anion corrections**: -173 kJ/mol of formula units
**Magnetization**: 0.0 μB per formula unit

---

Entry 3:
## YZr2Fe (PBE)

Data for YZr2Fe after structural relaxation.

Unit cell a=4.886 b=4.886 c=4.886 alpha=60.00 beta=60.00 gamma=60.00
Element x y z (fractional)
Y: 0.000 0.000 0.000
Zr: 0.250 0.250 0.250
Zr: 0.750 0.750 0.750
Fe: 0.500 0.500 0.500

Results
**Symmetry**: No. 225
**Formation energy from the elements**: 344 meV/atom
**Distance to the lowest polymorph of the same formula**: 1.43 eV per formula unit
**Magnetization**: 0.9 μB per formula unit

---

Entry 4:
## Tb8Tm2Cd (PBE)

Data for Tb8Tm2Cd after structural relaxation.

Unit cell a=6.093 b=6.093 c=12.546 alpha=103.46 beta=103.46 gamma=48.15
Element x y z (fractional)
Tb: 0.038 0.038 0.321
Tb: 0.139 0.139 0.953
Tb: 0.239 0.239 0.589
Tb: 0.409 0.409 0.861
Tb: 0.591 0.591 0.139
Tb: 0.761 0.761 0.411
Tb: 0.861 0.861 0.047
Tb: 0.962 0.962 0.679
Tm: 0.315 0.315 0.234
Tm: 0.685 0.685 0.766
Cd: 0.500 0.500 0.500

Results
**Symmetry**: No. 12
**Formation energy from the elements**: -8 meV/atom
**Distance to the lowest polymorph of the same formula**: 0.12 eV per formula unit
**Magnetization**: 0.0 μB per formula unit

---

What did the fourth record say?
## Tb8Tm2Cd (PBE)

Data for Tb8Tm2Cd after structural relaxation.

Unit cell a=6.093 b=6.093 c=12.546 alpha=103.46 beta=103.46 gamma=48.15
Element x y z (fractional)
Tb: 0.038 0.038 0.321
Tb: 0.139 0.139 0.953
Tb: 0.239 0.239 0.589
Tb: 0.409 0.409 0.861
Tb: 0.591 0.591 0.139
Tb: 0.761 0.761 0.411
Tb: 0.861 0.861 0.047
Tb: 0.962 0.962 0.679
Tm: 0.315 0.315 0.234
Tm: 0.685 0.685 0.766
Cd: 0.500 0.500 0.500

Results
**Symmetry**: No. 12
**Formation energy from the elements**: -8 meV/atom
**Distance to the lowest polymorph of the same formula**: 0.12 eV per formula unit
**Magnetization**: 0.0 μB per formula unit